[1]
Below is an optimized crystal structure of Ca2HfMoO6, with properties calculated at the GGA+U level.

The value obtained for the total magnetization is 0.200 μB/atom. The total DFT energy (no corrections) is -158.67 eV per cell.

The space group is P2_1/c (No. 14) and the conventional cell measures 5.5455, 5.7047 and 9.7881 Å, with angles of 90.00, 124.42 and 90.00 degrees. The asymmetric unit holds Ca at (0.2410, 0.0485, 0.2490), Hf at (0.5000, 0.0000, 0.0000), Mo at (0.0000, 0.0000, 0.5000), O at (0.1450, 0.2023, 0.9510), O at (0.2448, 0.6994, 0.9461) and O at (0.3517, 0.0400, 0.7536).

***

[2]
Below is an optimized crystal structure of CaHfMoO6, with properties calculated at the GGA+U level.

The value obtained for the total magnetization is 0.000 μB/atom. The total DFT energy (no corrections) is -143.78 eV per cell.

The space group is P4_2nm (No. 102) and the conventional cell measures 4.9316, 4.9316 and 9.6871 Å, with angles of 90.00, 90.00 and 90.00 degrees. The asymmetric unit holds Ca at (0.0000, 0.0000, 0.0000), Hf at (0.0000, 0.0000, 0.3344), Mo at (0.0000, 0.0000, 0.6682), O at (0.1760, 0.1760, 0.5099), O at (0.2034, 0.2034, 0.8059) and O at (0.2213, 0.2213, 0.1863).